# V2IrCl2 PBE optimized geometry
# - ΔE_f (raw) (meV/atom) = 421
# - energy (eV for the cell shown) = -57.37
# - crystal system = tetragonal
data_V2IrCl2
_chemical_formula_sum 'V4 Ir2 Cl4'
_space_group_name_H-M_alt 'P 4/m b m'
_space_group_IT_number 127
_space_group_name_Hall '-P 4 2ab'
_cell_length_a 7.2302
_cell_length_b 7.2302
_cell_length_c 2.8149
_cell_angle_alpha 90.00
_cell_angle_beta 90.00
_cell_angle_gamma 90.00
loop_
_atom_site_label
_atom_site_fract_x
_atom_site_fract_y
_atom_site_fract_z
_atom_site_occupancy
V1 0.1813 0.3187 0.0000 1
Ir1 0.0000 0.0000 0.5000 1
Cl1 0.1313 0.6313 0.5000 1

=====

# Hf2TiHgS PBE optimized geometry
# - ΔE_f (raw) (meV/atom) = 920
# - energy (eV for the cell shown) = -27.63
# - crystal system = tetragonal
data_Hf2TiHgS
_chemical_formula_sum 'Hf2 Ti1 Hg1 S1'
_space_group_name_H-M_alt 'P 4/m m m'
_space_group_IT_number 123
_space_group_name_Hall '-P 4 2'
_cell_length_a 4.9101
_cell_length_b 4.9101
_cell_length_c 5.1260
_cell_angle_alpha 90.00
_cell_angle_beta 90.00
_cell_angle_gamma 90.00
loop_
_atom_site_label
_atom_site_fract_x
_atom_site_fract_y
_atom_site_fract_z
_atom_site_occupancy
Hf1 0.0000 0.5000 0.0000 1
Ti1 0.0000 0.0000 0.0000 1
Hg1 0.0000 0.0000 0.5000 1
S1 0.5000 0.5000 0.5000 1

=====

# Ta2PtPb PBE optimized geometry
# - energy (eV for the cell shown) = -33.20
# - crystal system = tetragonal
# - energy of formation (eV/atom) = 0.06
data_Ta2PtPb
_chemical_formula_sum 'Ta2 Pt1 Pb1'
_space_group_name_H-M_alt 'P 4 m m'
_space_group_IT_number 99
_cell_length_a 3.5343
_cell_length_b 3.5343
_cell_length_c 6.1777
_cell_angle_alpha 90.00
_cell_angle_beta 90.00
_cell_angle_gamma 90.00
loop_
_space_group_symop_operation_xyz
'x,y,z'
'-y,x,z'
'-x,-y,z'
'y,-x,z'
'-x,y,z'
'y,x,z'
'x,-y,z'
'-y,-x,z'
loop_
_atom_site_label
_atom_site_fract_x
_atom_site_fract_y
_atom_site_fract_z
_atom_site_occupancy
Ta1 0.0000 0.0000 0.0000 1
Ta2 0.5000 0.5000 0.2382 1
Pt1 0.5000 0.5000 0.7833 1
Pb1 0.0000 0.0000 0.5093 1

=====

# PmSi3Pd2 PBE optimized geometry
# - ΔE_f (raw) (meV/atom) = -647
# - energy (eV for the cell shown) = -141.16
# - crystal system = orthorhombic
data_PmSi3Pd2
_chemical_formula_sum 'Pm4 Si12 Pd8'
_space_group_name_H-M_alt 'C m c m'
_space_group_IT_number 63
_space_group_name_Hall '-C 2c 2'
_cell_length_a 8.0752
_cell_length_b 9.2535
_cell_length_c 5.9265
_cell_angle_alpha 90.00
_cell_angle_beta 90.00
_cell_angle_gamma 90.00
loop_
_atom_site_label
_atom_site_fract_x
_atom_site_fract_y
_atom_site_fract_z
_atom_site_occupancy
Pm1 0.0000 0.1920 0.2500 1
Si1 0.0000 0.3519 0.7500 1
Si2 0.1442 0.1227 0.7500 1
Pd1 0.1754 0.5000 0.0000 1

=====

# Ce5PmP6 PBE optimized geometry
# - energy (eV for the cell shown) = -170.00
# - crystal system = monoclinic
# - energy of formation (eV/atom) = -1.51
data_Ce5PmP6
_chemical_formula_sum 'Ce10 Pm2 P12'
_space_group_name_H-M_alt 'C 1 2/m 1'
_space_group_IT_number 12
_cell_length_a 7.0978
_cell_length_b 12.2921
_cell_length_c 7.0961
_cell_angle_alpha 90.00
_cell_angle_beta 109.47
_cell_angle_gamma 90.00
loop_
_space_group_symop_operation_xyz
'x,y,z'
'-x,-y,-z'
'-x,y,-z'
'x,-y,z'
'x+1/2,y+1/2,z'
'-x+1/2,-y+1/2,-z'
'-x+1/2,y+1/2,-z'
'x+1/2,-y+1/2,z'
loop_
_atom_site_label
_atom_site_fract_x
_atom_site_fract_y
_atom_site_fract_z
_atom_site_occupancy
Ce1 0.0000 0.0000 0.0000 1
Ce2 0.0000 0.1668 0.5000 1
Ce3 0.0000 0.3338 0.0000 1
Pm1 0.0000 0.5000 0.5000 1
P1 0.2477 0.0000 0.7516 1
P2 0.2481 0.1681 0.2486 1

=====

| no. | calculated density (Mg/m³) | spin magnetization (μB/atom) |
| --- | --- | --- |
| 1 | 8.2 | 0.530 |
| 2 | 8.6 | 0.000 |
| 3 | 16.4 | 0.000 |
| 4 | 6.6 | 0.000 |
| 5 | 5.9 | 0.243 |